(1)
Below is a relaxed Li2HgPb5 crystal, with properties calculated at the PBE-GGA level.

Computed properties:
total DFT energy (no corrections) = -2.9641 eV/atom
SG = No. 63

```
data_Li2HgPb5
_cell_length_a 3.6663
_cell_length_b 6.1826
_cell_length_c 19.8436
_cell_angle_alpha 90.00
_cell_angle_beta 90.00
_cell_angle_gamma 107.25
_space_group_name_H-M_alt 'P 1'
_space_group_IT_number 1
_space_group_name_Hall 'P 1'
loop_
_atom_site_label
_atom_site_fract_x
_atom_site_fract_y
_atom_site_fract_z
Pb1 0.6352 0.2704 0.9636
Li1 0.1820 0.3639 0.8403
Li2 0.8180 0.6361 0.1597
Hg1 0.7751 0.5501 0.7500
Hg2 0.2249 0.4499 0.2500
Li3 0.8180 0.6361 0.3403
Pb2 0.6352 0.2704 0.5364
Pb3 0.0887 0.1775 0.3922
Pb4 0.9113 0.8225 0.6078
Pb5 0.3648 0.7296 0.4636
Pb6 0.9113 0.8225 0.8922
Pb7 0.5020 0.0040 0.7500
Pb8 0.0887 0.1775 0.1078
Pb9 0.3648 0.7296 0.0364
Li4 0.1820 0.3639 0.6597
Pb10 0.4980 0.9960 0.2500
```



(2)
Below is a relaxed Li5Hg2Pb crystal, with properties calculated at the PBE-GGA level.

Computed properties:
total DFT energy (no corrections) = -2.0827 eV/atom
SG = No. 139

```
data_Li5Hg2Pb
_cell_length_a 4.7562
_cell_length_b 4.7562
_cell_length_c 7.4102
_cell_angle_alpha 108.72
_cell_angle_beta 108.72
_cell_angle_gamma 90.00
_space_group_name_H-M_alt 'P 1'
_space_group_IT_number 1
_space_group_name_Hall 'P 1'
loop_
_atom_site_label
_atom_site_fract_x
_atom_site_fract_y
_atom_site_fract_z
Li1 0.1286 0.6286 0.2572
Hg1 0.2570 0.2570 0.5140
Li2 0.6286 0.1286 0.2572
Li3 0.3714 0.8714 0.7428
Hg2 0.7430 0.7430 0.4860
Li4 0.5000 0.5000 0.0000
Li5 0.8714 0.3714 0.7428
Pb1 0.0000 0.0000 0.0000
```



(3)
Below is a relaxed LiHg4Pb3 crystal, with properties calculated at the PBE-GGA level.

Computed properties:
total DFT energy (no corrections) = -1.8483 eV/atom
SG = No. 123

```
data_LiHg4Pb3
_cell_length_a 3.3947
_cell_length_b 3.3947
_cell_length_c 17.9330
_cell_angle_alpha 90.00
_cell_angle_beta 90.00
_cell_angle_gamma 90.00
_space_group_name_H-M_alt 'P 1'
_space_group_IT_number 1
_space_group_name_Hall 'P 1'
loop_
_atom_site_label
_atom_site_fract_x
_atom_site_fract_y
_atom_site_fract_z
Pb1 0.5000 0.5000 0.2283
Li1 0.5000 0.5000 0.0000
Pb2 0.5000 0.5000 0.5000
Hg1 0.0000 0.0000 0.3635
Hg2 0.0000 0.0000 0.9079
Hg3 0.0000 0.0000 0.0921
Pb3 0.5000 0.5000 0.7717
Hg4 0.0000 0.0000 0.6365
```



(4)
Below is a relaxed Li6HgPb2 crystal, with properties calculated at the PBE-GGA level.

Computed properties:
total DFT energy (no corrections) = -2.4178 eV/atom
SG = No. 12

```
data_Li6HgPb2
_cell_length_a 3.0565
_cell_length_b 8.1122
_cell_length_c 8.1123
_cell_angle_alpha 120.00
_cell_angle_beta 90.12
_cell_angle_gamma 90.00
_space_group_name_H-M_alt 'P 1'
_space_group_IT_number 1
_space_group_name_Hall 'P 1'
loop_
_atom_site_label
_atom_site_fract_x
_atom_site_fract_y
_atom_site_fract_z
Pb1 0.0001 0.6666 0.3332
Li1 0.5026 0.3292 0.3293
Li2 0.4974 0.0000 0.6707
Li3 0.5026 0.0000 0.3293
Li4 0.5000 0.6709 0.0000
Pb2 0.9999 0.3334 0.6668
Li5 0.5000 0.3291 0.0000
Hg1 0.0000 0.0000 0.0000
Li6 0.4974 0.6708 0.6707
```



(5)
Below is a relaxed Li3Hg4Pb crystal, with properties calculated at the PBE-GGA level.

Computed properties:
total DFT energy (no corrections) = -1.5812 eV/atom
SG = No. 123

```
data_Li3Hg4Pb
_cell_length_a 4.6269
_cell_length_b 7.9625
_cell_length_c 9.2656
_cell_angle_alpha 90.00
_cell_angle_beta 90.00
_cell_angle_gamma 90.00
_space_group_name_H-M_alt 'P 1'
_space_group_IT_number 1
_space_group_name_Hall 'P 1'
loop_
_atom_site_label
_atom_site_fract_x
_atom_site_fract_y
_atom_site_fract_z
Hg1 0.5000 0.2155 0.5000
Hg2 0.0002 0.7843 0.7500
Hg3 0.9998 0.2157 0.2500
Hg4 0.5000 0.7845 0.5000
Li1 0.4998 0.0000 0.2500
Li2 0.0000 0.0000 0.5000
Li3 0.0000 0.0000 0.0000
Li4 0.5002 0.0000 0.7500
Pb1 0.0000 0.5000 0.5000
Hg5 0.5000 0.2155 0.0000
Pb2 0.0000 0.5000 0.0000
Hg6 0.9998 0.7843 0.2500
Hg7 0.5000 0.7845 0.0000
Li5 0.5001 0.5000 0.2500
Li6 0.4999 0.5000 0.7500
Hg8 0.0002 0.2157 0.7500
```



(6)
Below is a relaxed LiHg3Pb12 crystal, with properties calculated at the PBE-GGA level.

Computed properties:
total DFT energy (no corrections) = -2.9746 eV/atom
SG = No. 123

```
data_LiHg3Pb12
_cell_length_a 4.7947
_cell_length_b 4.7947
_cell_length_c 20.4672
_cell_angle_alpha 90.00
_cell_angle_beta 90.00
_cell_angle_gamma 90.00
_space_group_name_H-M_alt 'P 1'
_space_group_IT_number 1
_space_group_name_Hall 'P 1'
loop_
_atom_site_label
_atom_site_fract_x
_atom_site_fract_y
_atom_site_fract_z
Pb1 0.5000 0.5000 0.5000
Hg1 0.0000 0.0000 0.5000
Pb2 0.5000 0.0000 0.1203
Hg2 0.0000 0.0000 0.2498
Pb3 0.0000 0.5000 0.6257
Pb4 0.5000 0.5000 0.0000
Pb5 0.5000 0.0000 0.6257
Pb6 0.0000 0.5000 0.1203
Pb7 0.5000 0.5000 0.2463
Hg3 0.0000 0.0000 0.7502
Li1 0.0000 0.0000 0.0000
Pb8 0.0000 0.5000 0.8797
Pb9 0.5000 0.0000 0.3743
Pb10 0.5000 0.5000 0.7537
Pb11 0.5000 0.0000 0.8797
Pb12 0.0000 0.5000 0.3743
```